(1)
A plane-wave DFT calculation with SCAN was carried out for a PBEsol-optimized structure of KZr2InCu.

Computed properties:
V ... 28.7 Å³/atom
E_tot ... -113.0 eV for the cell shown
DFT formation energy ... 101.9 kJ per mole of atoms
Space-group type ... P4/mmm

Unit cell a=4.8394 b=5.4438 c=5.4438 alpha=90.00 beta=90.00 gamma=90.00
Sites, in units of the cell vectors:
Zr1 0.0000 0.5000 0.0000
Zr2 0.0000 0.0000 0.5000
In1 0.0000 0.0000 0.0000
Cu1 0.5000 0.0000 0.0000
K1 0.5000 0.5000 0.5000

***

(2)
A plane-wave DFT calculation with SCAN was carried out for a PBEsol-optimized structure of KSr2.

Computed properties:
V ... 56.6 Å³/atom
E_tot ... -52.6 eV for the cell shown
DFT formation energy ... 7.7 kJ per mole of atoms
Space-group type ... I4/mmm

Unit cell a=4.1636 b=4.1636 c=10.2300 alpha=101.74 beta=101.74 gamma=90.00
Sites, in units of the cell vectors:
Sr1 0.6737 0.6737 0.3474
Sr2 0.3263 0.3263 0.6526
K1 0.0000 0.0000 0.0000

***

(3)
A plane-wave DFT calculation with SCAN was carried out for a PBEsol-optimized structure of ScAl2Tc.

Computed properties:
V ... 15.9 Å³/atom
E_tot ... -66.2 eV for the cell shown
DFT formation energy ... -32.8 kJ per mole of atoms
Space-group type ... Pm

Unit cell a=2.9176 b=4.3595 c=5.0448 alpha=90.00 beta=96.93 gamma=90.00
Sites, in units of the cell vectors:
Al1 0.8885 0.5000 0.2633
Al2 0.8971 0.0000 0.9690
Tc1 0.2660 0.5000 0.7858
Sc1 0.4485 0.0000 0.4819

***

(4)
A plane-wave DFT calculation with SCAN was carried out for a PBEsol-optimized structure of CuTe2As.

Computed properties:
V ... 23.4 Å³/atom
E_tot ... -108.1 eV for the cell shown
Formation energy without anion corrections ... 1.8 eV per formula unit
Space-group type ... Pmmm

Unit cell a=3.9462 b=3.7821 c=6.2683 alpha=90.00 beta=90.00 gamma=90.00
Sites, in units of the cell vectors:
As1 0.5000 0.5000 0.0000
Te1 0.0000 0.0000 0.0000
Te2 0.5000 0.0000 0.5000
Cu1 0.0000 0.5000 0.5000

***

Q: What is the V in the third record?
A: 15.9 Å³/atom

***

Please write out number 2 again, unchanged.
A plane-wave DFT calculation with SCAN was carried out for a PBEsol-optimized structure of KSr2.

Computed properties:
V ... 56.6 Å³/atom
E_tot ... -52.6 eV for the cell shown
DFT formation energy ... 7.7 kJ per mole of atoms
Space-group type ... I4/mmm

Unit cell a=4.1636 b=4.1636 c=10.2300 alpha=101.74 beta=101.74 gamma=90.00
Sites, in units of the cell vectors:
Sr1 0.6737 0.6737 0.3474
Sr2 0.3263 0.3263 0.6526
K1 0.0000 0.0000 0.0000

***

Please write out number 3 again, unchanged.
A plane-wave DFT calculation with SCAN was carried out for a PBEsol-optimized structure of ScAl2Tc.

Computed properties:
V ... 15.9 Å³/atom
E_tot ... -66.2 eV for the cell shown
DFT formation energy ... -32.8 kJ per mole of atoms
Space-group type ... Pm

Unit cell a=2.9176 b=4.3595 c=5.0448 alpha=90.00 beta=96.93 gamma=90.00
Sites, in units of the cell vectors:
Al1 0.8885 0.5000 0.2633
Al2 0.8971 0.0000 0.9690
Tc1 0.2660 0.5000 0.7858
Sc1 0.4485 0.0000 0.4819